Mg2ReSe: optimized geometry, PBE.

Cell: 7.4941 7.4941 5.4426 Å, 90.00 90.00 90.00°
Space group I-42d (No. 122)
One atom of each set of equivalent atoms:
Mg  0.2287  0.2500  0.1250 (multiplicity 8)
Re  0.0000  0.0000  0.5000 (multiplicity 4)
Se  0.0000  0.0000  0.0000 (multiplicity 4)

Values from the calculation:
* formation energy without anion corrections: 0.573 eV/atom
* M_tot: 5.37 μB/cell

MgReSe2: optimized geometry, PBE.

Cell: 8.6532 3.1946 6.2613 Å, 90.00 113.79 90.00°
Space group Cm (No. 8)
One atom of each set of equivalent atoms:
Mg  0.0000  0.0000  0.0000 (multiplicity 2)
Re  0.1733  0.5000  0.4276 (multiplicity 2)
Se  0.2078  0.0000  0.7605 (multiplicity 2)
Se  0.3594  0.0000  0.3483 (multiplicity 2)

Values from the calculation:
* formation energy without anion corrections: -0.143 eV/atom
* M_tot: 0.00 μB/cell

Mg2ReSe: optimized geometry, PBE.

Cell: 3.4183 3.4183 5.8885 Å, 90.00 90.00 90.00°
Space group P4/mmm (No. 123)
One atom of each set of equivalent atoms:
Mg  0.0000  0.0000  0.2387 (multiplicity 2)
Re  0.5000  0.5000  0.0000 (multiplicity 1)
Se  0.5000  0.5000  0.5000 (multiplicity 1)

Values from the calculation:
* formation energy without anion corrections: 0.160 eV/atom
* M_tot: 0.00 μB/cell

MgTi2ReSe: optimized geometry, PBE.

Cell: 4.6771 4.6771 4.6007 Å, 90.00 90.00 90.00°
Space group P4/mmm (No. 123)
One atom of each set of equivalent atoms:
Mg  0.0000  0.0000  0.0000 (multiplicity 1)
Ti  0.0000  0.5000  0.5000 (multiplicity 2)
Re  0.5000  0.5000  0.0000 (multiplicity 1)
Se  0.5000  0.5000  0.5000 (multiplicity 1)

Values from the calculation:
* formation energy without anion corrections: 0.469 eV/atom
* M_tot: 0.00 μB/cell